AgGeSO | PBE-GGA | optimized geometry

a b c (Å): 4.886 4.886 6.436
angles (deg): 90.00 90.00 90.00
Space group P4/nmm (No. 129, origin choice 2)
Inequivalent atoms, fractional coordinates:
Ag  0.250  0.250  0.199
Ge  0.250  0.250  0.608
S  0.250  0.750  0.500
O  0.250  0.250  0.872

Total energy in eV per atom: -4.36
Offset from the most stable computed form in eV/atom: 0.3191